1.
Entry from the Alexandria database: a relaxed TePbO3 crystal (PBE).

## Properties
Its magnetization is 0.00 Bohr magnetons per cell. As for the space-group type: Pm-3m (221). The density of states at the Fermi level is 0.446 states/eV/atom. The value obtained for the total energy is -22.18 eV per cell. The value obtained for the formation energy from raw total energies is -0.091 eV/atom.

Lattice parameters (Å, degrees): 4.2489 4.2489 4.2489 90.00 90.00 90.00
With the nearest neighbours (Å) after each atom.
Element x y z (fractional)
Pb1 0.0000 0.0000 0.0000  6 O 2.12
Te1 0.5000 0.5000 0.5000  12 O 3.00
O1 0.0000 0.5000 0.0000  2 Pb 2.12
O2 0.0000 0.0000 0.5000  2 Pb 2.12
O3 0.5000 0.0000 0.0000  2 Pb 2.12


2.
Entry from the Alexandria database: a relaxed TePbO2 crystal (PBE).

## Properties
Its magnetization is 0.00 Bohr magnetons per cell. As for the space-group type: Fm-3m (225). The density of states at the Fermi level is 0.722 states/eV/atom. Its energy relative to the lowest polymorph listed for this composition is 0.722 eV per atom. The value obtained for the total energy is -16.73 eV per cell. The value obtained for the formation energy from raw total energies is 0.009 eV/atom.

Lattice parameters (Å, degrees): 4.5239 4.5239 4.5239 60.00 60.00 60.00
With the nearest neighbours (Å) after each atom.
Element x y z (fractional)
Pb1 0.5000 0.5000 0.5000  8 O 2.77
Te1 0.0000 0.0000 0.0000  8 O 2.77
O1 0.2500 0.2500 0.2500  4 Pb 2.77, 4 Te 2.77
O2 0.7500 0.7500 0.7500  4 Pb 2.77, 4 Te 2.77


3.
Entry from the Alexandria database: a relaxed Te2Pb2O7 crystal (PBE).

## Properties
Its magnetization is 0.00 Bohr magnetons per cell. As for the space-group type: C2/m (12). The density of states at the Fermi level is 0.027 states/eV/atom. Its energy relative to the lowest polymorph listed for this composition is 0.100 eV per atom. The value obtained for the total energy is -58.96 eV per cell. The value obtained for the formation energy from raw total energies is -0.960 eV/atom.

Lattice parameters (Å, degrees): 6.1384 6.2285 6.2285 110.43 95.11 95.11
With the nearest neighbours (Å) after each atom.
Element x y z (fractional)
Te1 0.8891 0.2601 0.2601  4 O 1.91-2.11
Te2 0.1109 0.7399 0.7399  4 O 1.91-2.11
Pb1 0.5000 0.3044 0.6956  4 O 2.42-2.55
Pb2 0.5000 0.6956 0.3044  4 O 2.42-2.55
O1 0.2961 0.9314 0.6292  1 Te 1.91
O2 0.7039 0.3708 0.0686  1 Te 1.91
O3 0.7039 0.0686 0.3708  1 Te 1.91
O4 0.2961 0.6292 0.9314  1 Te 1.91
O5 0.0000 0.0000 0.0000  2 Te 2.07
O6 0.8038 0.5359 0.5359  2 Te 2.11-2.19
O7 0.1962 0.4641 0.4641  2 Te 2.11-2.19


4.
Entry from the Alexandria database: a relaxed Te2PbO crystal (PBE).

## Properties
Its magnetization is 0.00 Bohr magnetons per cell. As for the space-group type: R-3m (166). The density of states at the Fermi level is 0.760 states/eV/atom. Its energy relative to the lowest polymorph listed for this composition is 0.022 eV per atom. The value obtained for the total energy is -15.24 eV per cell. The value obtained for the formation energy from raw total energies is -0.074 eV/atom.

Lattice parameters (Å, degrees): 7.2482 7.2482 7.2482 41.99 41.99 41.99
With the nearest neighbours (Å) after each atom.
Element x y z (fractional)
Pb1 0.5000 0.5000 0.5000  6 Te 3.27
Te1 0.1011 0.1011 0.1011  1 O 2.00
Te2 0.8989 0.8989 0.8989  1 O 2.00
O1 0.0000 0.0000 0.0000  2 Te 2.00


5.
Entry from the Alexandria database: a relaxed TePbO2 crystal (PBE).

## Properties
Its magnetization is 0.00 Bohr magnetons per cell. As for the space-group type: I-42d (122). The density of states at the Fermi level is 0.293 states/eV/atom. Its energy relative to the lowest polymorph listed for this composition is 0.277 eV per atom. The value obtained for the total energy is -37.02 eV per cell. The value obtained for the formation energy from raw total energies is -0.436 eV/atom.

Lattice parameters (Å, degrees): 4.8182 4.8182 7.6769 71.71 71.71 90.00
With the nearest neighbours (Å) after each atom.
Element x y z (fractional)
Pb1 0.0000 0.0000 0.0000  4 O 2.56
Pb2 0.7500 0.2500 0.5000  4 O 2.56
Te1 0.5000 0.5000 0.0000  4 O 2.30
Te2 0.2500 0.7500 0.5000  4 O 2.30
O1 0.5707 0.1250 0.2500  2 Te 2.30, 2 Pb 2.56
O2 0.1793 0.6250 0.2500  2 Te 2.30, 2 Pb 2.56
O3 0.3750 0.4293 0.7500  2 Te 2.30, 2 Pb 2.56
O4 0.8750 0.8207 0.7500  2 Te 2.30, 2 Pb 2.56


6.
Entry from the Alexandria database: a relaxed Te2PbO crystal (PBE).

## Properties
Its magnetization is 0.00 Bohr magnetons per cell. As for the space-group type: Fm-3m (225). The density of states at the Fermi level is 1.021 states/eV/atom. Its energy relative to the lowest polymorph listed for this composition is 0.545 eV per atom. The value obtained for the total energy is -13.15 eV per cell. The value obtained for the formation energy from raw total energies is 0.449 eV/atom.

Lattice parameters (Å, degrees): 5.1192 5.1192 5.1192 60.00 60.00 60.00
With the nearest neighbours (Å) after each atom.
Element x y z (fractional)
Pb1 0.5000 0.5000 0.5000  8 Te 3.13
Te1 0.2500 0.2500 0.2500  4 O 3.13, 4 Pb 3.13
Te2 0.7500 0.7500 0.7500  4 Pb 3.13, 4 O 3.13
O1 0.0000 0.0000 0.0000  8 Te 3.13


7.
Entry from the Alexandria database: a relaxed TePb2O6 crystal (PBE).

## Properties
Its magnetization is 0.00 Bohr magnetons per cell. As for the space-group type: Immm (71). The density of states at the Fermi level is 0.019 states/eV/atom. The value obtained for the total energy is -46.94 eV per cell. The value obtained for the formation energy from raw total energies is -0.737 eV/atom.

Lattice parameters (Å, degrees): 3.8121 5.4074 6.5919 114.22 106.81 90.00
With the nearest neighbours (Å) after each atom.
Element x y z (fractional)
Te1 0.0000 0.0000 0.0000  8 O 2.31-2.33
Pb1 0.6664 0.6665 0.3329  8 O 2.34
Pb2 0.3336 0.3335 0.6671  8 O 2.34
O1 0.1649 0.4128 0.3299  1 Te 2.31, 3 Pb 2.34
O2 0.8351 0.0829 0.6701  1 Te 2.31, 3 Pb 2.34
O3 0.8351 0.5872 0.6701  1 Te 2.31, 3 Pb 2.34
O4 0.5000 0.2483 0.0000  2 Te 2.33, 2 Pb 2.34
O5 0.1649 0.9171 0.3299  1 Te 2.31, 3 Pb 2.34
O6 0.5000 0.7517 0.0000  2 Te 2.33, 2 Pb 2.34


8.
Entry from the Alexandria database: a relaxed TePbO6 crystal (PBE).

## Properties
Its magnetization is 2.91 Bohr magnetons per cell. As for the space-group type: R-3m (166). The density of states at the Fermi level is 0.507 states/eV/atom. The value obtained for the total energy is -38.35 eV per cell. The value obtained for the formation energy from raw total energies is -0.219 eV/atom.

Lattice parameters (Å, degrees): 4.7173 4.7173 4.7173 94.13 94.13 94.13
With the nearest neighbours (Å) after each atom.
Element x y z (fractional)
Te1 0.5000 0.5000 0.5000  6 O 1.95
Pb1 0.0000 0.0000 0.0000  6 O 2.49
O1 0.2090 0.5853 0.2090  1 Te 1.95
O2 0.2090 0.2090 0.5853  1 Te 1.95
O3 0.7910 0.4147 0.7910  1 Te 1.95
O4 0.4147 0.7910 0.7910  1 Te 1.95
O5 0.7910 0.7910 0.4147  1 Te 1.95
O6 0.5853 0.2090 0.2090  1 Te 1.95


9.
Entry from the Alexandria database: a relaxed Te3Pb2O8 crystal (PBE).

## Properties
Its magnetization is 0.00 Bohr magnetons per cell. As for the space-group type: Cmcm (63). The density of states at the Fermi level is 0.000 states/eV/atom. Its energy relative to the lowest polymorph listed for this composition is 0.000 eV per atom. The value obtained for the total energy is -426.81 eV per cell. The value obtained for the formation energy from raw total energies is -1.125 eV/atom.

Lattice parameters (Å, degrees): 10.6932 10.6932 19.2396 90.00 90.00 140.47
With the nearest neighbours (Å) after each atom.
Element x y z (fractional)
Te1 0.1740 0.9453 0.2500  3 O 1.90-1.93
Te2 0.9453 0.1740 0.2500  3 O 1.90-1.93
Te3 0.8260 0.0547 0.7500  3 O 1.90-1.93
Te4 0.0547 0.8260 0.7500  3 O 1.90-1.93
Te5 0.5359 0.7710 0.5836  3 O 1.89-2.04
Te6 0.7710 0.5359 0.9164  3 O 1.89-2.04
Te7 0.4641 0.2290 0.0836  3 O 1.89-2.04
Te8 0.2290 0.4641 0.4164  3 O 1.89-2.04
Te9 0.4641 0.2290 0.4164  3 O 1.89-2.04
Te10 0.2290 0.4641 0.0836  3 O 1.89-2.04
Te11 0.5359 0.7710 0.9164  3 O 1.89-2.04
Te12 0.7710 0.5359 0.5836  3 O 1.89-2.04
Te13 0.7927 0.7927 0.0757  3 O 1.89-1.92
Te14 0.7927 0.7927 0.4243  3 O 1.89-1.92
Te15 0.2073 0.2073 0.5757  3 O 1.89-1.92
Te16 0.2073 0.2073 0.9243  3 O 1.89-1.92
Te17 0.5993 0.5993 0.2500  2 O 1.88
Te18 0.4007 0.4007 0.7500  2 O 1.88
Pb1 0.3152 0.6958 0.2500  4 O 2.43-2.60
Pb2 0.6958 0.3152 0.2500  4 O 2.43-2.60
Pb3 0.6848 0.3042 0.7500  4 O 2.43-2.60
Pb4 0.3042 0.6848 0.7500  4 O 2.43-2.60
Pb5 0.9364 0.3183 0.5900  4 O 2.42-2.59
Pb6 0.3183 0.9364 0.9100  4 O 2.42-2.59
Pb7 0.0636 0.6817 0.0900  4 O 2.42-2.59
Pb8 0.6817 0.0636 0.4100  4 O 2.42-2.59
Pb9 0.0636 0.6817 0.4100  4 O 2.42-2.59
Pb10 0.6817 0.0636 0.0900  4 O 2.42-2.59
Pb11 0.9364 0.3183 0.9100  4 O 2.42-2.59
Pb12 0.3183 0.9364 0.5900  4 O 2.42-2.59
O1 0.0151 0.6768 0.2500  1 Te 1.90
O2 0.6768 0.0151 0.2500  1 Te 1.90
O3 0.9849 0.3232 0.7500  1 Te 1.90
O4 0.3232 0.9849 0.7500  1 Te 1.90
O5 0.5068 0.3625 0.2500  1 Te 1.88
O6 0.3625 0.5068 0.2500  1 Te 1.88
O7 0.4932 0.6375 0.7500  1 Te 1.88
O8 0.6375 0.4932 0.7500  1 Te 1.88
O9 0.0038 0.1480 0.8852  1 Te 1.89
O10 0.1480 0.0038 0.6148  1 Te 1.89
O11 0.9962 0.8520 0.3852  1 Te 1.89
O12 0.8520 0.9962 0.1148  1 Te 1.89
O13 0.9962 0.8520 0.1148  1 Te 1.89
O14 0.8520 0.9962 0.3852  1 Te 1.89
O15 0.0038 0.1480 0.6148  1 Te 1.89
O16 0.1480 0.0038 0.8852  1 Te 1.89
O17 0.2939 0.6504 0.6155  1 Te 1.89
O18 0.6504 0.2939 0.8845  1 Te 1.89
O19 0.7061 0.3496 0.1155  1 Te 1.89
O20 0.3496 0.7061 0.3845  1 Te 1.89
O21 0.7061 0.3496 0.3845  1 Te 1.89
O22 0.3496 0.7061 0.1155  1 Te 1.89
O23 0.2939 0.6504 0.8845  1 Te 1.89
O24 0.6504 0.2939 0.6155  1 Te 1.89
O25 0.6513 0.9804 0.6785  1 Te 1.93
O26 0.9804 0.6513 0.8215  1 Te 1.93
O27 0.3487 0.0196 0.1785  1 Te 1.93
O28 0.0196 0.3487 0.3215  1 Te 1.93
O29 0.3487 0.0196 0.3215  1 Te 1.93
O30 0.0196 0.3487 0.1785  1 Te 1.93
O31 0.4183 0.4183 0.8635  1 Te 1.92
O32 0.4183 0.4183 0.6365  1 Te 1.92
O33 0.5817 0.5817 0.3635  1 Te 1.92
O34 0.5817 0.5817 0.1365  1 Te 1.92
O35 0.5889 0.4111 0.5000  2 Te 2.04
O36 0.4111 0.5889 0.0000  2 Te 2.04
O37 0.4111 0.5889 0.5000  2 Te 2.04
O38 0.5889 0.4111 0.0000  2 Te 2.04
O39 0.9834 0.6286 0.5323  1 Te 1.91
O40 0.6286 0.9834 0.9677  1 Te 1.91
O41 0.0166 0.3714 0.0323  1 Te 1.91
O42 0.3714 0.0166 0.4677  1 Te 1.91
O43 0.0166 0.3714 0.4677  1 Te 1.91
O44 0.3714 0.0166 0.0323  1 Te 1.91
O45 0.9834 0.6286 0.9677  1 Te 1.91
O46 0.6286 0.9834 0.5323  1 Te 1.91
O47 0.9804 0.6513 0.6785  1 Te 1.93
O48 0.6513 0.9804 0.8215  1 Te 1.93